VASP calculation (PBE-GGA) on crystalline Li2TcP at its relaxed geometry.

a b c (Å): 2.7158 4.3845 4.6377
angles (deg): 90.00 106.24 90.00
Atoms (fractional coordinates):
Li1 0.1587 0.0000 0.2554
Li2 0.8413 0.0000 0.7446
Tc1 0.5000 0.5000 0.0000
P1 0.0000 0.5000 0.5000

Total magnetization   0.0 μB/cell
Space group   P2/m, No. 10
Energy of formation from the pure elements   -13 kJ per mole of atoms
Raw total energy   -20.15 eV per formula unit